A relaxed structure of Ho5Al4In, computed with PBE.

Cell lengths 3.5681, 3.5681, 18.5887 Å; angles 90.00, 90.00, 90.00 degrees
Last column: nearest neighbours and their distance in Å.
Fractional positions:
1 Ho 0.0000 0.0000 0.0000  8 Al 3.10
2 Ho 0.0000 0.0000 0.1935  8 Al 3.10-3.12
3 Ho 0.0000 0.0000 0.3900  4 Al 3.11, 4 In 3.25
4 Ho 0.0000 0.0000 0.6100  4 Al 3.11, 4 In 3.25
5 Ho 0.0000 0.0000 0.8065  8 Al 3.10-3.12
6 Al 0.5000 0.5000 0.0965  8 Ho 3.10
7 Al 0.5000 0.5000 0.2919  8 Ho 3.11-3.12
8 Al 0.5000 0.5000 0.7081  8 Ho 3.11-3.12
9 Al 0.5000 0.5000 0.9035  8 Ho 3.10
10 In 0.5000 0.5000 0.5000  8 Ho 3.25, 4 In 3.57

Results
Its crystal system is tetragonal. As for the density of states at the Fermi level: 4.2 states/eV/f.u. Its space-group type is No. 123. For the formation energy from the elements, the calculation gives -0.405 eV per atom. For the magnetization, the calculation gives 0.000 μB per atom.

---

A relaxed structure of Ho4AlIn3, computed with PBE.

Cell lengths 3.6475, 3.6475, 15.3145 Å; angles 90.00, 90.00, 90.00 degrees
Last column: nearest neighbours and their distance in Å.
Fractional positions:
1 Ho 0.0000 0.0000 0.1155  4 Al 3.13, 4 In 3.24
2 Ho 0.0000 0.0000 0.3709  8 In 3.23-3.25
3 Ho 0.0000 0.0000 0.6291  8 In 3.23-3.25
4 Ho 0.0000 0.0000 0.8845  4 Al 3.13, 4 In 3.24
5 Al 0.5000 0.5000 0.0000  8 Ho 3.13
6 In 0.5000 0.5000 0.2436  8 Ho 3.23-3.24
7 In 0.5000 0.5000 0.5000  8 Ho 3.25
8 In 0.5000 0.5000 0.7564  8 Ho 3.23-3.24

Results
Its crystal system is tetragonal. As for the density of states at the Fermi level: 3.8 states/eV/f.u. Its space-group type is No. 123. For the formation energy from the elements, the calculation gives -0.436 eV per atom. For the distance to the lowest polymorph of the same formula, the calculation gives 0.0000 eV/atom. For the magnetization, the calculation gives 0.000 μB per atom.

---

A relaxed structure of Ho2AlIn, computed with PBE.

Cell lengths 3.5768, 3.5768, 7.7141 Å; angles 90.00, 90.00, 90.00 degrees
Last column: nearest neighbours and their distance in Å.
Fractional positions:
1 Ho 0.0000 0.0000 0.2380  4 Al 3.13, 4 In 3.24
2 Ho 0.0000 0.0000 0.7620  4 Al 3.13, 4 In 3.24
3 Al 0.5000 0.5000 0.0000  8 Ho 3.13
4 In 0.5000 0.5000 0.5000  8 Ho 3.24, 4 In 3.58

Results
Its crystal system is tetragonal. As for the density of states at the Fermi level: 1.8 states/eV/f.u. Its space-group type is No. 123. For the formation energy from the elements, the calculation gives -0.418 eV per atom. For the magnetization, the calculation gives 0.000 μB per atom.

---

A relaxed structure of Ho9Al2In, computed with PBE.

Cell lengths 4.7656, 4.7656, 14.2929 Å; angles 90.00, 90.00, 90.00 degrees
Last column: nearest neighbours and their distance in Å.
Fractional positions:
1 Ho 0.0000 0.0000 0.0000  4 In 3.37, 8 Ho 3.42
2 Ho 0.0000 0.0000 0.3356  8 Ho 3.34-3.35, 4 Al 3.37
3 Ho 0.0000 0.0000 0.6644  8 Ho 3.34-3.35, 4 Al 3.37
4 Ho 0.0000 0.5000 0.1721  2 Al 3.33, 8 Ho 3.34-3.42, 2 In 3.42
5 Ho 0.0000 0.5000 0.5000  8 Ho 3.35-3.37, 4 Al 3.35
6 Ho 0.0000 0.5000 0.8279  2 Al 3.33, 8 Ho 3.34-3.42, 2 In 3.42
7 Ho 0.5000 0.0000 0.1721  2 Al 3.33, 8 Ho 3.34-3.42, 2 In 3.42
8 Ho 0.5000 0.0000 0.5000  8 Ho 3.35-3.37, 4 Al 3.35
9 Ho 0.5000 0.0000 0.8279  2 Al 3.33, 8 Ho 3.34-3.42, 2 In 3.42
10 Al 0.5000 0.5000 0.3348  12 Ho 3.33-3.37
11 Al 0.5000 0.5000 0.6652  12 Ho 3.33-3.37
12 In 0.5000 0.5000 0.0000  12 Ho 3.37-3.42

Results
Its crystal system is tetragonal. As for the density of states at the Fermi level: 15.7 states/eV/f.u. Its space-group type is No. 123. For the formation energy from the elements, the calculation gives -0.217 eV per atom. For the magnetization, the calculation gives 0.000 μB per atom.

---

A relaxed structure of Ho4Al3In, computed with PBE.

Cell lengths 3.5818, 3.5818, 14.8449 Å; angles 90.00, 90.00, 90.00 degrees
Last column: nearest neighbours and their distance in Å.
Fractional positions:
1 Ho 0.0000 0.0000 0.1200  8 Al 3.10-3.11
2 Ho 0.0000 0.0000 0.3637  4 Al 3.11, 4 In 3.24
3 Ho 0.0000 0.0000 0.6363  4 Al 3.11, 4 In 3.24
4 Ho 0.0000 0.0000 0.8800  8 Al 3.10-3.11
5 Al 0.5000 0.5000 0.0000  8 Ho 3.10
6 Al 0.5000 0.5000 0.2419  8 Ho 3.11
7 Al 0.5000 0.5000 0.7581  8 Ho 3.11
8 In 0.5000 0.5000 0.5000  8 Ho 3.24, 4 In 3.58

Results
Its crystal system is tetragonal. As for the density of states at the Fermi level: 3.1 states/eV/f.u. Its space-group type is No. 123. For the formation energy from the elements, the calculation gives -0.408 eV per atom. For the distance to the lowest polymorph of the same formula, the calculation gives 0.0000 eV/atom. For the magnetization, the calculation gives 0.000 μB per atom.

---

A relaxed structure of Ho4AlIn2, computed with PBE.

Cell lengths 8.9619, 8.9619, 8.9619 Å; angles 33.51, 33.51, 33.51 degrees
Last column: nearest neighbours and their distance in Å.
Fractional positions:
1 Ho 0.1227 0.1227 0.1227  4 In 3.16-3.26, 3 Al 3.18
2 Ho 0.3742 0.3742 0.3742  4 In 3.12-3.16, 1 Al 3.19
3 Ho 0.6258 0.6258 0.6258  4 In 3.12-3.16, 1 Al 3.19
4 Ho 0.8773 0.8773 0.8773  4 In 3.16-3.26, 3 Al 3.18
5 Al 0.5000 0.5000 0.5000  8 Ho 3.18-3.19
6 In 0.2511 0.2511 0.2511  8 Ho 3.12-3.26
7 In 0.7489 0.7489 0.7489  8 Ho 3.12-3.26

Results
Its crystal system is trigonal. As for the density of states at the Fermi level: 7.1 states/eV/f.u. Its space-group type is No. 166. For the formation energy from the elements, the calculation gives -0.266 eV per atom. For the distance to the lowest polymorph of the same formula, the calculation gives 0.0000 eV/atom. For the magnetization, the calculation gives 0.000 μB per atom.

---

A relaxed structure of Ho2Al2In, computed with PBE.

Cell lengths 7.1949, 7.1949, 4.5478 Å; angles 90.00, 90.00, 90.00 degrees
Last column: nearest neighbours and their distance in Å.
Fractional positions:
1 Ho 0.1696 0.3304 0.0000  6 Al 3.07-3.14
2 Ho 0.3304 0.8304 0.0000  6 Al 3.07-3.14
3 Ho 0.6696 0.1696 0.0000  6 Al 3.07-3.14
4 Ho 0.8304 0.6696 0.0000  6 Al 3.07-3.14
5 Al 0.1278 0.6278 0.5000  1 Al 2.60, 2 In 2.83
6 Al 0.3722 0.1278 0.5000  1 Al 2.60, 2 In 2.83
7 Al 0.6278 0.8722 0.5000  1 Al 2.60, 2 In 2.83
8 Al 0.8722 0.3722 0.5000  1 Al 2.60, 2 In 2.83
9 In 0.0000 0.0000 0.5000  4 Al 2.83
10 In 0.5000 0.5000 0.5000  4 Al 2.83

Results
Its crystal system is tetragonal. As for the density of states at the Fermi level: 2.3 states/eV/f.u. Its space-group type is No. 127. For the formation energy from the elements, the calculation gives -0.460 eV per atom. For the distance to the lowest polymorph of the same formula, the calculation gives 0.0132 eV/atom. For the magnetization, the calculation gives 0.000 μB per atom.

---

A relaxed structure of Ho12Al6In, computed with PBE.

Cell lengths 8.7399, 8.7399, 8.7399 Å; angles 109.47, 109.47, 109.47 degrees
Last column: nearest neighbours and their distance in Å.
Fractional positions:
1 Ho 0.0974 0.8117 0.2857  3 Al 2.87-3.14
2 Ho 0.1883 0.2857 0.4739  3 Al 2.87-3.14
3 Ho 0.1883 0.7143 0.9026  3 Al 2.87-3.14
4 Ho 0.2857 0.0974 0.8117  3 Al 2.87-3.14
5 Ho 0.2857 0.4739 0.1883  3 Al 2.87-3.14
6 Ho 0.4739 0.1883 0.2857  3 Al 2.87-3.14
7 Ho 0.5261 0.8117 0.7143  3 Al 2.87-3.14
8 Ho 0.7143 0.5261 0.8117  3 Al 2.87-3.14
9 Ho 0.7143 0.9026 0.1883  3 Al 2.87-3.14
10 Ho 0.8117 0.2857 0.0974  3 Al 2.87-3.14
11 Ho 0.8117 0.7143 0.5261  3 Al 2.87-3.14
12 Ho 0.9026 0.1883 0.7143  3 Al 2.87-3.14
13 Al 0.1246 0.6246 0.5000  1 Al 2.52
14 Al 0.3754 0.5000 0.8754  1 Al 2.52
15 Al 0.5000 0.1246 0.6246  1 Al 2.52
16 Al 0.5000 0.8754 0.3754  1 Al 2.52
17 Al 0.6246 0.5000 0.1246  1 Al 2.52
18 Al 0.8754 0.3754 0.5000  1 Al 2.52
19 In 0.0000 0.0000 0.0000  12 Ho 3.45

Results
Its crystal system is cubic. As for the density of states at the Fermi level: 20.8 states/eV/f.u. Its space-group type is No. 204. For the formation energy from the elements, the calculation gives -0.206 eV per atom. For the magnetization, the calculation gives 0.000 μB per atom.

---

A relaxed structure of Ho5AlIn2, computed with PBE.

Cell lengths 6.6108, 6.6108, 6.6092 Å; angles 117.04, 117.04, 95.21 degrees
Last column: nearest neighbours and their distance in Å.
Fractional positions:
1 Ho 0.0000 0.0000 0.0000  4 In 3.30-3.61, 8 Ho 3.30-3.33
2 Ho 0.4881 0.9864 0.9737  4 In 3.26-3.36, 6 Ho 3.30-3.51, 2 Al 3.31-3.33
3 Ho 0.5048 0.5048 0.4582  4 In 3.28-3.36, 2 Al 3.28-3.36, 6 Ho 3.32-3.51
4 Ho 0.9574 0.9574 0.4636  2 Al 3.27-3.38, 4 In 3.28-3.35, 6 Ho 3.30-3.50
5 Ho 0.9864 0.4881 0.9737  4 In 3.26-3.36, 6 Ho 3.30-3.51, 2 Al 3.31-3.33
6 Al 0.4542 0.4542 0.9064  2 In 3.07, 8 Ho 3.27-3.38
7 In 0.0094 0.4780 0.4866  1 Al 3.07, 9 Ho 3.26-3.36
8 In 0.4780 0.0094 0.4866  1 Al 3.07, 9 Ho 3.26-3.36

Results
Its crystal system is monoclinic. As for the density of states at the Fermi level: 7.5 states/eV/f.u. Its space-group type is No. 8. For the formation energy from the elements, the calculation gives -0.275 eV per atom. For the magnetization, the calculation gives 0.000 μB per atom.

---

A relaxed structure of Ho4AlIn2, computed with PBE.

Cell lengths 7.6732, 7.6732, 7.6732 Å; angles 136.97, 136.97, 62.49 degrees
Last column: nearest neighbours and their distance in Å.
Fractional positions:
1 Ho 0.0000 0.5000 0.5000  2 Al 2.81
2 Ho 0.2500 0.7500 0.5000  4 In 3.26, 2 Ho 3.28
3 Ho 0.5000 0.0000 0.5000  2 Al 2.81
4 Ho 0.7500 0.2500 0.5000  4 In 3.26, 2 Ho 3.28
5 Al 0.0000 0.0000 0.0000  4 Ho 2.81
6 In 0.3749 0.3749 0.0000  8 Ho 3.26, 1 In 3.28
7 In 0.6251 0.6251 0.0000  8 Ho 3.26, 1 In 3.28

Results
Its crystal system is tetragonal. As for the density of states at the Fermi level: 8.0 states/eV/f.u. Its space-group type is No. 139. For the formation energy from the elements, the calculation gives 0.008 eV per atom. For the distance to the lowest polymorph of the same formula, the calculation gives 0.2735 eV/atom. For the magnetization, the calculation gives 0.000 μB per atom.

---

A relaxed structure of Ho3Al3In, computed with PBE.

Cell lengths 5.9839, 5.9839, 14.2505 Å; angles 107.30, 107.30, 44.41 degrees
Last column: nearest neighbours and their distance in Å.
Fractional positions:
1 Ho 0.0251 0.0251 0.3755  6 Al 3.11-3.26, 3 In 3.23-3.24
2 Ho 0.1064 0.1064 0.9250  7 Al 3.09-3.29
3 Ho 0.2335 0.2335 0.2159  6 Al 3.06-3.33, 2 In 3.31
4 Ho 0.7665 0.7665 0.7841  6 Al 3.06-3.33, 2 In 3.31
5 Ho 0.8936 0.8936 0.0750  7 Al 3.09-3.29
6 Ho 0.9749 0.9749 0.6245  6 Al 3.11-3.26, 3 In 3.23-3.24
7 Al 0.3775 0.3775 0.4517  1 Al 2.62, 2 In 2.73
8 Al 0.3920 0.3920 0.9270  2 Al 2.62-2.65
9 Al 0.4834 0.4834 0.7761  1 Al 2.65, 1 In 2.78
10 Al 0.5166 0.5166 0.2239  1 Al 2.65, 1 In 2.78
11 Al 0.6080 0.6080 0.0730  2 Al 2.62-2.65
12 Al 0.6225 0.6225 0.5483  1 Al 2.62, 2 In 2.73
13 In 0.2623 0.2623 0.6131  4 Al 2.73-2.97
14 In 0.7377 0.7377 0.3869  4 Al 2.73-2.97

Results
Its crystal system is monoclinic. As for the density of states at the Fermi level: 5.3 states/eV/f.u. Its space-group type is No. 12. For the formation energy from the elements, the calculation gives -0.403 eV per atom. For the magnetization, the calculation gives 0.000 μB per atom.

---

A relaxed structure of HoMgAlIn, computed with PBE.

Cell lengths 4.4137, 4.4431, 4.5558 Å; angles 90.00, 90.00, 90.00 degrees
Last column: nearest neighbours and their distance in Å.
Fractional positions:
1 Ho 0.0000 0.0000 0.0000  4 Al 3.13, 4 In 3.17, 4 Mg 3.18
2 Mg 0.0000 0.5000 0.5000  4 In 3.13, 4 Al 3.17, 4 Ho 3.18
3 Al 0.5000 0.5000 0.0000  4 Ho 3.13, 4 Mg 3.17, 4 In 3.18
4 In 0.5000 0.0000 0.5000  4 Mg 3.13, 4 Ho 3.17, 4 Al 3.18

Results
Its crystal system is orthorhombic. As for the density of states at the Fermi level: 2.0 states/eV/f.u. Its space-group type is No. 47. For the formation energy from the elements, the calculation gives -0.345 eV per atom. For the distance to the lowest polymorph of the same formula, the calculation gives 0.0000 eV/atom. For the magnetization, the calculation gives 0.000 μB per atom.